{
  "formula": "ScRe2As",
  "functional": "PBE",
  "state": "optimized geometry",
  "lattice_angstrom": [[4.925, 0.000, 0.024], [3.919, 2.982, 0.024], [1.346, 0.454, 4.449]],
  "species": ["As", "Re", "Re", "Sc"],
  "fractional_positions": [[0.250, 0.250, 0.250], [0.979, 0.979, 0.041], [0.521, 0.521, 0.459], [0.750, 0.750, 0.750]],
  "m_tot_mub_per_cell": 0.00,
  "e_tot_ev_per_atom": -8.96,
  "n_ef_per_ev_cell": 2.83
}


{
  "formula": "LaBr4Cl",
  "functional": "PBE",
  "state": "optimized geometry",
  "lattice_angstrom": [[0.000, 4.335, 4.335], [4.335, 0.000, 4.335], [4.335, 4.335, 0.000]],
  "species": ["La", "Br", "Br", "Br", "Br", "Cl"],
  "fractional_positions": [[0.000, 0.000, 0.000], [0.876, 0.375, 0.375], [0.375, 0.375, 0.876], [0.375, 0.876, 0.375], [0.375, 0.375, 0.375], [0.750, 0.750, 0.750]],
  "m_tot_mub_per_cell": 0.00,
  "e_tot_ev_per_atom": -2.86,
  "e_form_raw_ev_per_atom": -0.62,
  "n_ef_per_ev_cell": 5.51
}


{
  "formula": "Dy2UMnC4",
  "functional": "PBE",
  "state": "optimized geometry",
  "lattice_angstrom": [[-2.766, 1.030, -1.729], [0.268, -5.941, -0.585], [-6.596, -1.263, 9.803]],
  "species": ["Dy", "Dy", "Dy", "Dy", "U", "U", "Mn", "Mn", "C", "C", "C", "C", "C", "C", "C", "C"],
  "fractional_positions": [[0.367, 0.734, 0.546], [0.633, 0.266, 0.046], [0.633, 0.266, 0.454], [0.367, 0.734, 0.954], [0.096, 0.191, 0.750], [0.904, 0.809, 0.250], [0.832, 0.665, 0.750], [0.168, 0.335, 0.250], [0.276, 0.553, 0.142], [0.724, 0.447, 0.642], [0.724, 0.447, 0.858], [0.276, 0.553, 0.358], [0.000, 0.000, 0.500], [0.000, 0.000, 0.000], [0.425, 0.850, 0.750], [0.575, 0.150, 0.250]],
  "m_tot_mub_per_cell": 5.66,
  "e_tot_ev_per_atom": -8.28,
  "n_ef_per_ev_cell": 12.95
}


{
  "formula": "NaMg2ScF8",
  "functional": "PBE",
  "state": "optimized geometry",
  "lattice_angstrom": [[4.861, 0.009, -0.003], [0.051, 4.849, -0.005], [0.004, 0.007, 6.436]],
  "species": ["Na", "Mg", "Mg", "Sc", "F", "F", "F", "F", "F", "F", "F", "F"],
  "fractional_positions": [[0.000, 0.000, 0.500], [0.500, 0.500, 0.741], [0.500, 0.500, 0.259], [0.000, 0.000, 0.000], [0.207, 0.791, 0.223], [0.696, 0.697, 0.000], [0.793, 0.209, 0.223], [0.793, 0.209, 0.777], [0.304, 0.303, 0.000], [0.207, 0.791, 0.777], [0.680, 0.682, 0.500], [0.320, 0.318, 0.500]],
  "m_tot_mub_per_cell": 0.13,
  "e_tot_ev_per_atom": -5.69,
  "e_form_raw_ev_per_atom": -3.54,
  "n_ef_per_ev_cell": 0.00
}


{
  "formula": "SiGeBr3",
  "functional": "PBE",
  "state": "optimized geometry",
  "lattice_angstrom": [[-1.745, -2.076, -4.498], [-1.006, -4.521, 2.477], [-4.851, 1.684, 1.105]],
  "species": ["Ge", "Si", "Br", "Br", "Br"],
  "fractional_positions": [[0.500, 0.500, 0.500], [0.000, 0.000, 0.000], [0.000, 0.500, 0.000], [0.000, 0.000, 0.500], [0.500, 0.000, 0.000]],
  "m_tot_mub_per_cell": 1.00,
  "e_tot_ev_per_atom": -2.85,
  "e_form_raw_ev_per_atom": 0.16,
  "n_ef_per_ev_cell": 2.46,
  "relative_energy_ev_per_atom": 0.000
}


{
  "formula": "Sm2Tm4Sn3O2",
  "functional": "PBE",
  "state": "optimized geometry",
  "lattice_angstrom": [[-2.602, 0.723, -3.717], [1.353, -4.035, -1.732], [-9.051, -4.024, 8.395]],
  "species": ["Sm", "Sm", "Tm", "Tm", "Tm", "Tm", "Sn", "Sn", "Sn", "O", "O"],
  "fractional_positions": [[0.305, 0.305, 0.610], [0.695, 0.695, 0.390], [0.418, 0.918, 0.836], [0.918, 0.418, 0.836], [0.082, 0.582, 0.164], [0.582, 0.082, 0.164], [0.000, 0.000, 0.000], [0.175, 0.175, 0.350], [0.825, 0.825, 0.650], [0.408, 0.408, 0.816], [0.592, 0.592, 0.184]],
  "m_tot_mub_per_cell": 0.00,
  "e_tot_ev_per_atom": -6.02,
  "e_form_raw_ev_per_atom": -1.54,
  "n_ef_per_ev_cell": 7.27
}